A plane-wave DFT calculation with PBE-GGA was carried out for a relaxed ErZnCd2 crystal.

a b c (Å): 4.947 4.947 4.947
angles (deg): 60.00 60.00 60.00
Sites, in units of the cell vectors:
1 Cd 0.750 0.750 0.750
2 Cd 0.250 0.250 0.250
3 Er 0.000 0.000 0.000
4 Zn 0.500 0.500 0.500

A plane-wave DFT calculation with PBE-GGA was carried out for a relaxed ErZnCd3 crystal.

Output
excess energy over the best structure of this formula in the dataset = 3 meV/atom

a b c (Å): 4.142 9.082 11.829
angles (deg): 90.00 90.00 90.00
Sites, in units of the cell vectors:
1 Er 0.250 0.677 0.497
2 Er 0.250 0.177 0.003
3 Er 0.750 0.323 0.503
4 Er 0.750 0.823 0.997
5 Cd 0.250 0.351 0.296
6 Cd 0.250 0.063 0.407
7 Cd 0.750 0.086 0.204
8 Cd 0.250 0.414 0.704
9 Cd 0.750 0.586 0.296
10 Cd 0.750 0.437 0.907
11 Cd 0.250 0.851 0.204
12 Cd 0.750 0.149 0.796
13 Cd 0.250 0.563 0.093
14 Cd 0.750 0.649 0.704
15 Cd 0.250 0.914 0.796
16 Cd 0.750 0.937 0.593
17 Zn 0.250 0.637 0.870
18 Zn 0.250 0.137 0.630
19 Zn 0.750 0.863 0.370
20 Zn 0.750 0.363 0.130

A plane-wave DFT calculation with PBE-GGA was carried out for a relaxed Er5Zn2Cd crystal.

a b c (Å): 8.092 8.092 8.458
angles (deg): 118.58 118.58 90.00
Sites, in units of the cell vectors:
1 Er 0.201 0.006 0.707
2 Er 0.299 0.799 0.293
3 Er 0.506 0.701 0.707
4 Er 0.006 0.506 0.707
5 Er 0.000 0.000 0.000
6 Er 0.799 0.994 0.293
7 Er 0.500 0.500 0.000
8 Er 0.494 0.299 0.293
9 Er 0.994 0.494 0.293
10 Er 0.701 0.201 0.707
11 Zn 0.360 0.860 0.000
12 Zn 0.860 0.640 0.000
13 Zn 0.640 0.140 0.000
14 Zn 0.140 0.360 0.000
15 Cd 0.750 0.750 0.500
16 Cd 0.250 0.250 0.500

A plane-wave DFT calculation with PBE-GGA was carried out for a relaxed Er4ZnCd2 crystal.

a b c (Å): 5.129 5.129 8.813
angles (deg): 73.08 73.08 60.00
Sites, in units of the cell vectors:
1 Zn 0.000 0.000 0.000
2 Er 0.125 0.125 0.624
3 Er 0.875 0.875 0.376
4 Er 0.623 0.623 0.130
5 Er 0.377 0.377 0.870
6 Cd 0.749 0.749 0.753
7 Cd 0.251 0.251 0.247

A plane-wave DFT calculation with PBE-GGA was carried out for a relaxed Er5Zn2Cd2 crystal.

a b c (Å): 7.286 7.273 9.409
angles (deg): 112.74 90.00 90.00
Sites, in units of the cell vectors:
1 Er 0.180 0.446 0.260
2 Er 0.820 0.813 0.260
3 Er 0.320 0.687 0.740
4 Er 0.820 0.554 0.740
5 Er 0.320 0.946 0.260
6 Er 0.180 0.187 0.740
7 Er 0.500 0.500 0.000
8 Er 0.680 0.054 0.740
9 Er 0.000 0.000 0.000
10 Er 0.680 0.313 0.260
11 Zn 0.621 0.880 0.000
12 Zn 0.379 0.120 0.000
13 Zn 0.121 0.620 0.000
14 Zn 0.879 0.380 0.000
15 Cd 0.000 0.227 0.454
16 Cd 0.500 0.273 0.546
17 Cd 0.500 0.727 0.454
18 Cd 0.000 0.773 0.546

A plane-wave DFT calculation with PBE-GGA was carried out for a relaxed ErZnCd crystal.

a b c (Å): 4.667 4.667 4.667
angles (deg): 60.00 60.00 60.00
Sites, in units of the cell vectors:
1 Cd 0.500 0.500 0.500
2 Er 0.000 0.000 0.000
3 Zn 0.250 0.250 0.250

A plane-wave DFT calculation with PBE-GGA was carried out for a relaxed Er3Zn8Cd3 crystal.

a b c (Å): 4.435 8.354 8.354
angles (deg): 66.68 74.61 74.61
Sites, in units of the cell vectors:
1 Zn 0.647 0.623 0.082
2 Zn 0.834 0.799 0.533
3 Zn 0.353 0.918 0.377
4 Zn 0.353 0.377 0.918
5 Zn 0.166 0.467 0.201
6 Zn 0.647 0.082 0.623
7 Zn 0.834 0.533 0.799
8 Zn 0.166 0.201 0.467
9 Cd 0.000 0.205 0.795
10 Cd 0.000 0.795 0.205
11 Cd 0.500 0.000 0.000
12 Er 0.207 0.793 0.793
13 Er 0.793 0.207 0.207
14 Er 0.500 0.500 0.500

A plane-wave DFT calculation with PBE-GGA was carried out for a relaxed Er8Zn2Cd crystal.

a b c (Å): 5.368 8.180 8.180
angles (deg): 116.10 100.18 100.18
Sites, in units of the cell vectors:
1 Er 0.500 0.228 0.772
2 Er 0.102 0.330 0.088
3 Er 0.500 0.772 0.228
4 Er 0.696 0.393 0.393
5 Er 0.898 0.670 0.912
6 Er 0.102 0.088 0.330
7 Er 0.898 0.912 0.670
8 Er 0.304 0.607 0.607
9 Zn 0.000 0.694 0.306
10 Zn 0.000 0.306 0.694
11 Cd 0.500 0.000 0.000

A plane-wave DFT calculation with PBE-GGA was carried out for a relaxed ErZnCd2 crystal.

a b c (Å): 4.933 4.933 4.928
angles (deg): 90.24 119.86 119.89
Sites, in units of the cell vectors:
1 Er 0.625 0.563 0.187
2 Cd 0.125 0.813 0.938
3 Cd 0.625 0.063 0.688
4 Zn 0.125 0.312 0.437

A plane-wave DFT calculation with PBE-GGA was carried out for a relaxed Er6Zn5Cd crystal.

a b c (Å): 5.037 7.163 7.974
angles (deg): 90.00 71.59 90.00
Sites, in units of the cell vectors:
1 Er 0.830 0.746 0.340
2 Er 0.830 0.254 0.340
3 Er 0.500 0.259 0.000
4 Er 0.170 0.254 0.660
5 Er 0.500 0.741 0.000
6 Er 0.170 0.746 0.660
7 Zn 0.334 0.500 0.332
8 Zn 0.666 0.500 0.668
9 Zn 0.665 0.000 0.670
10 Zn 0.335 0.000 0.330
11 Zn 0.000 0.500 0.000
12 Cd 0.000 0.000 0.000

A plane-wave DFT calculation with PBE-GGA was carried out for a relaxed Er6ZnCd3 crystal.

a b c (Å): 5.226 9.088 11.478
angles (deg): 108.47 90.00 90.00
Sites, in units of the cell vectors:
1 Er 0.250 0.103 0.868
2 Er 0.750 0.150 0.680
3 Er 0.750 0.868 0.839
4 Er 0.750 0.332 0.327
5 Er 0.750 0.765 0.506
6 Er 0.250 0.850 0.320
7 Er 0.250 0.132 0.161
8 Er 0.750 0.897 0.132
9 Er 0.750 0.532 0.912
10 Er 0.250 0.468 0.088
11 Er 0.250 0.668 0.673
12 Er 0.250 0.235 0.494
13 Zn 0.750 0.043 0.400
14 Zn 0.250 0.957 0.600
15 Cd 0.750 0.473 0.623
16 Cd 0.750 0.610 0.222
17 Cd 0.250 0.773 0.974
18 Cd 0.250 0.527 0.377
19 Cd 0.250 0.390 0.778
20 Cd 0.750 0.227 0.026

A plane-wave DFT calculation with PBE-GGA was carried out for a relaxed Er6ZnCd crystal.

a b c (Å): 5.012 5.012 9.419
angles (deg): 74.57 74.64 90.00
Sites, in units of the cell vectors:
1 Er 0.750 0.750 0.500
2 Er 0.390 0.890 0.219
3 Er 0.250 0.250 0.500
4 Er 0.610 0.110 0.781
5 Er 0.110 0.610 0.781
6 Er 0.890 0.390 0.219
7 Zn 0.000 0.000 0.000
8 Cd 0.500 0.500 0.000

Number 1: magnetization 0.00 μB per cell, formation energy from the elements -0.17 eV per atom. Number 2: magnetization 0.00 μB per cell, formation energy from the elements -0.18 eV per atom. Number 3: magnetization 0.00 μB per cell, formation energy from the elements -0.22 eV per atom. Number 4: magnetization 0.00 μB per cell, formation energy from the elements -0.14 eV per atom. Number 5: magnetization 0.00 μB per cell, formation energy from the elements -0.23 eV per atom. Number 6: magnetization 0.00 μB per cell, formation energy from the elements -0.15 eV per atom. Number 7: magnetization 0.00 μB per cell, formation energy from the elements -0.28 eV per atom. Number 8: magnetization 0.00 μB per cell, formation energy from the elements -0.05 eV per atom. Number 9: magnetization 0.00 μB per cell, formation energy from the elements -0.24 eV per atom. Number 10: magnetization 0.00 μB per cell, formation energy from the elements -0.34 eV per atom. Number 11: magnetization 0.00 μB per cell, formation energy from the elements -0.22 eV per atom. Number 12: magnetization 0.00 μB per cell, formation energy from the elements -0.14 eV per atom.